# Sr2Co PBE relaxed
data_Sr2Co
_chemical_formula_sum 'Sr4 Co2'
_symmetry_space_group_name_H-M 'P 1'
_symmetry_Int_Tables_number 1
_symmetry_space_group_name_Hall 'P 1'
_cell_length_a 15.082
_cell_length_b 15.082
_cell_length_c 15.082
_cell_angle_alpha 165.87
_cell_angle_beta 165.87
_cell_angle_gamma 20.03
loop_
_atom_site_label
_atom_site_type_symbol
_atom_site_fract_x
_atom_site_fract_y
_atom_site_fract_z
Sr1 Sr 0.066 0.816 0.250
Sr2 Sr 0.934 0.184 0.750
Sr3 Sr 0.184 0.934 0.250
Sr4 Sr 0.816 0.066 0.750
Co1 Co 0.625 0.375 0.250
Co2 Co 0.375 0.625 0.750
# **N(E_F)**: 12.7 states/eV per cell


# AgBPt3 PBE relaxed
data_AgBPt3
_chemical_formula_sum 'Ag2 B2 Pt6'
_symmetry_space_group_name_H-M 'P 1'
_symmetry_Int_Tables_number 1
_symmetry_space_group_name_Hall 'P 1'
_cell_length_a 15.261
_cell_length_b 6.878
_cell_length_c 6.878
_cell_angle_alpha 156.37
_cell_angle_beta 146.16
_cell_angle_gamma 33.84
loop_
_atom_site_label
_atom_site_type_symbol
_atom_site_fract_x
_atom_site_fract_y
_atom_site_fract_z
B1 B 0.609 0.048 0.952
B2 B 0.391 0.952 0.048
Ag1 Ag 0.918 0.993 0.007
Ag2 Ag 0.082 0.007 0.993
Pt1 Pt 0.669 0.373 0.627
Pt2 Pt 0.331 0.627 0.373
Pt3 Pt 0.141 0.155 0.845
Pt4 Pt 0.859 0.845 0.155
Pt5 Pt 0.408 0.762 0.238
Pt6 Pt 0.592 0.238 0.762
# **N(E_F)**: 3.9 states/eV per cell


# MnCr2Ag PBE relaxed
data_MnCr2Ag
_chemical_formula_sum 'Mn1 Cr2 Ag1'
_symmetry_space_group_name_H-M 'P 1'
_symmetry_Int_Tables_number 1
_symmetry_space_group_name_Hall 'P 1'
_cell_length_a 3.679
_cell_length_b 2.697
_cell_length_c 5.853
_cell_angle_alpha 69.52
_cell_angle_beta 90.00
_cell_angle_gamma 90.00
loop_
_atom_site_label
_atom_site_type_symbol
_atom_site_fract_x
_atom_site_fract_y
_atom_site_fract_z
Ag1 Ag 0.500 0.753 0.749
Cr1 Cr 0.000 0.022 0.051
Cr2 Cr 0.500 0.233 0.252
Mn1 Mn 0.000 0.492 0.447
# **N(E_F)**: 3.8 states/eV per cell


# ZrTiBi PBE relaxed
data_ZrTiBi
_chemical_formula_sum 'Zr2 Ti2 Bi2'
_symmetry_space_group_name_H-M 'P 1'
_symmetry_Int_Tables_number 1
_symmetry_space_group_name_Hall 'P 1'
_cell_length_a 3.827
_cell_length_b 4.788
_cell_length_c 7.329
_cell_angle_alpha 89.99
_cell_angle_beta 105.13
_cell_angle_gamma 90.00
loop_
_atom_site_label
_atom_site_type_symbol
_atom_site_fract_x
_atom_site_fract_y
_atom_site_fract_z
Zr1 Zr 0.923 0.750 0.846
Zr2 Zr 0.077 0.250 0.154
Ti1 Ti 0.260 0.750 0.520
Ti2 Ti 0.740 0.250 0.480
Bi1 Bi 0.604 0.750 0.209
Bi2 Bi 0.396 0.250 0.791
# **N(E_F)**: 7.2 states/eV per cell


Results for electronic total energy: -3.0547, -5.5867, -7.3525, -6.9619 (in eV per atom, following the order of the records).